Entry from Alexandria via LeMat-Bulk: a relaxed structure of Fe2PBr (PBE).

## Properties
SG	P4/mmm
energy relative to the lowest polymorph listed for this composition	391.6	meV/atom
D(E_F)	0.97	states/eV per atom

Cell lengths 3.0727, 3.0727, 6.5255 Å; angles 90.00, 90.00, 90.00 degrees
Closest atoms and distances in Å follow each position.
Sites, in units of the cell vectors:
1 Fe 0.0000 0.0000 0.1785  1 Fe 2.33, 4 P 2.47
2 Fe 0.0000 0.0000 0.8215  1 Fe 2.33, 4 P 2.47
3 P 0.5000 0.5000 0.0000  8 Fe 2.47
4 Br 0.5000 0.5000 0.5000  8 Fe 3.02, 4 Br 3.07, 2 P 3.26